[1]
The following is a DFT calculation (GGA-PBE) of a geometry-optimized LiTaSbI2 structure.

Cell lengths 5.0736, 5.0736, 5.2604 Å; angles 90.00, 90.00, 90.00 degrees
Space group P4/mmm (No. 123)
Asymmetric unit:
Li 0.0000 0.0000 0.0000 x1
Ta 0.5000 0.5000 0.5000 x1
Sb 0.0000 0.0000 0.5000 x1
I 0.0000 0.5000 0.0000 x2

Output
The distance to the lowest polymorph of the same formula comes out at 3.59 eV per formula unit. The raw formation energy is 0.8972 eV per atom.

[2]
The following is a DFT calculation (GGA-PBE) of a geometry-optimized Ac2AlGe3Pd4 structure.

Cell lengths 4.4544, 4.4544, 10.4154 Å; angles 90.00, 90.00, 90.00 degrees
Space group P-4m2 (No. 115)
Asymmetric unit:
Ac 0.0000 0.5000 0.2477 x2
Al 0.0000 0.0000 0.5000 x1
Ge 0.0000 0.5000 0.8745 x2
Ge 0.5000 0.5000 0.5000 x1
Pd 0.0000 0.0000 0.0000 x1
Pd 0.0000 0.5000 0.6270 x2
Pd 0.5000 0.5000 0.0000 x1

Output
The formation energy is -0.84 eV per atom.

[3]
The following is a DFT calculation (GGA-PBE) of a geometry-optimized Pr2Zn4Ga3Au structure.

Cell lengths 4.3052, 4.3052, 10.6795 Å; angles 90.00, 90.00, 90.00 degrees
Space group P-4m2 (No. 115)
Asymmetric unit:
Pr 0.0000 0.5000 0.2469 x2
Zn 0.0000 0.0000 0.0000 x1
Zn 0.0000 0.5000 0.6370 x2
Zn 0.5000 0.5000 0.0000 x1
Ga 0.0000 0.5000 0.8670 x2
Ga 0.5000 0.5000 0.5000 x1
Au 0.0000 0.0000 0.5000 x1

Output
The formation energy is -0.49 eV per atom.

[4]
The following is a DFT calculation (GGA-PBE) of a geometry-optimized SrBi2Pd structure.

Cell lengths 4.3842, 4.3842, 27.5848 Å; angles 90.00, 90.00, 120.00 degrees
Space group R-3m (No. 166, hexagonal axes)
Asymmetric unit:
Sr 0.0000 0.0000 0.0000 x3
Bi 0.0000 0.0000 0.1239 x6
Pd 0.0000 0.0000 0.5000 x3

Output
The formation energy is -0.13 eV per atom.

[5]
The following is a DFT calculation (GGA-PBE) of a geometry-optimized Ba2Sr2P2O structure.

Cell lengths 4.9000, 4.9000, 16.9148 Å; angles 90.00, 90.00, 90.00 degrees
Space group I4/mmm (No. 139)
Asymmetric unit:
Ba 0.0000 0.0000 0.1742 x4
Sr 0.0000 0.5000 0.0000 x4
P 0.0000 0.0000 0.3697 x4
O 0.0000 0.0000 0.0000 x2

Output
The raw formation energy is -1.5413 eV per atom.

[6]
The following is a DFT calculation (GGA-PBE) of a geometry-optimized SrCo2Hg2 structure.

Cell lengths 4.5827, 4.5827, 10.2839 Å; angles 90.00, 90.00, 90.00 degrees
Space group I4/mmm (No. 139)
Asymmetric unit:
Sr 0.0000 0.0000 0.0000 x2
Co 0.0000 0.0000 0.3958 x4
Hg 0.0000 0.5000 0.2500 x4

Output
The formation energy is 0.15 eV per atom. The distance to the lowest polymorph of the same formula comes out at 0.06 eV per formula unit.

[7]
The following is a DFT calculation (GGA-PBE) of a geometry-optimized MgTi4Se8 structure.

Cell lengths 12.3978, 7.1735, 8.9441 Å; angles 90.00, 133.21, 90.00 degrees
Space group C2/m (No. 12)
Asymmetric unit:
Mg 0.0000 0.0000 0.0000 x2
Ti 0.0000 0.2624 0.5000 x4
Ti 0.2430 0.5000 0.4946 x4
Se 0.0314 0.0000 0.7291 x4
Se 0.0368 0.5000 0.7425 x4
Se 0.2157 0.2521 0.2603 x8

Output
The raw formation energy is -1.1617 eV per atom.

[8]
The following is a DFT calculation (GGA-PBE) of a geometry-optimized Mg2PdCl structure.

Cell lengths 6.7357, 6.7357, 6.7357 Å; angles 90.00, 90.00, 90.00 degrees
Space group Fm-3m (No. 225)
Asymmetric unit:
Mg 0.2500 0.2500 0.2500 x8
Pd 0.0000 0.0000 0.0000 x4
Cl 0.0000 0.0000 0.5000 x4

Output
The distance to the lowest polymorph of the same formula comes out at 0.63 eV per formula unit. The raw formation energy is -0.3910 eV per atom.

[9]
The following is a DFT calculation (GGA-PBE) of a geometry-optimized PmYTiIn structure.

Cell lengths 7.5224, 7.5224, 7.5224 Å; angles 90.00, 90.00, 90.00 degrees
Space group F-43m (No. 216)
Asymmetric unit:
Pm 0.0000 0.0000 0.0000 x4
Y 0.0000 0.0000 0.5000 x4
Ti 0.2500 0.2500 0.2500 x4
In 0.2500 0.2500 0.7500 x4

Output
The formation energy is -0.09 eV per atom.

[10]
The following is a DFT calculation (GGA-PBE) of a geometry-optimized Pm7HoPb4 structure.

Cell lengths 14.5542, 5.9412, 11.0205 Å; angles 90.00, 124.73, 90.00 degrees
Space group C2/m (No. 12)
Asymmetric unit:
Pm 0.0000 0.0000 0.0000 x2
Pm 0.0548 0.5000 0.3743 x4
Pm 0.2016 0.0000 0.6283 x4
Pm 0.2086 0.5000 0.8908 x4
Ho 0.0000 0.5000 0.0000 x2
Pb 0.0644 0.0000 0.7589 x4
Pb 0.1995 0.0000 0.3290 x4

Output
The formation energy is -0.15 eV per atom.

[11]
The following is a DFT calculation (GGA-PBE) of a geometry-optimized Rb2IrBr2F4 structure.

Cell lengths 7.0139, 7.0139, 8.8598 Å; angles 90.00, 90.00, 90.00 degrees
Space group I4/mmm (No. 139)
Asymmetric unit:
Rb 0.0000 0.5000 0.2500 x4
Ir 0.0000 0.0000 0.0000 x2
Br 0.0000 0.0000 0.2821 x4
F 0.1982 0.1982 0.0000 x8

Output
The raw formation energy is -1.7521 eV per atom.

[12]
The following is a DFT calculation (GGA-PBE) of a geometry-optimized PmBOs structure.

Cell lengths 3.0191, 3.0191, 10.4962 Å; angles 90.00, 90.00, 90.00 degrees
Space group I4mm (No. 107)
Asymmetric unit:
Pm 0.0000 0.0000 0.0000 x2
B 0.0000 0.0000 0.7155 x2
Os 0.0000 0.0000 0.2760 x2

Output
The formation energy is 0.00 eV per atom. The distance to the lowest polymorph of the same formula comes out at 0.86 eV per formula unit.